(1)
# K2SrCd2S4 (GGA-PBE, relaxed)
data_K2SrCd2S4
_chemical_formula_sum 'K4 Sr2 Cd4 S8'
_cell_length_a 16.223
_cell_length_b 4.250
_cell_length_c 7.883
_cell_angle_alpha 90.00
_cell_angle_beta 110.47
_cell_angle_gamma 90.00
_symmetry_space_group_name_H-M 'C 1 2/m 1'
_symmetry_Int_Tables_number 12
_symmetry_space_group_name_Hall '-C 2y'
loop_
_atom_site_label
_atom_site_type_symbol
_atom_site_fract_x
_atom_site_fract_y
_atom_site_fract_z
K1 K 0.120 0.000 0.044
Sr1 Sr 0.000 0.000 0.500
Cd1 Cd 0.171 0.500 0.479
S1 S 0.019 0.500 0.252
S2 S 0.210 0.000 0.687
# formation energy from raw total energies = -111.1 kJ per mole of atoms
# density of states at the Fermi level = 0.000 states/eV/cell
# total DFT energy (no corrections) = -0.133 hartree per atom

(2)
# Er3Hg4Pb (GGA-PBE, relaxed)
data_Er3Hg4Pb
_chemical_formula_sum 'Er9 Hg12 Pb3'
_cell_length_a 5.2050
_cell_length_b 5.2050
_cell_length_c 26.0213
_cell_angle_alpha 90.00
_cell_angle_beta 90.00
_cell_angle_gamma 120.00
_symmetry_space_group_name_H-M 'R -3 m'
_symmetry_Int_Tables_number 166
_symmetry_space_group_name_Hall '-R 3 2"'
loop_
_atom_site_label
_atom_site_type_symbol
_atom_site_fract_x
_atom_site_fract_y
_atom_site_fract_z
Er1 Er 0.0000 0.0000 0.0000
Er2 Er 0.0000 0.0000 0.2449
Hg1 Hg 0.0000 0.0000 0.1184
Hg2 Hg 0.0000 0.0000 0.3679
Pb1 Pb 0.0000 0.0000 0.5000
# density of states at the Fermi level = 12.695 states/eV/cell
# ΔE to the lowest computed polymorph = 0.00 eV/f.u.
# DFT formation energy = -0.385 eV per atom
# total DFT energy (no corrections) = -0.100 hartree per atom

Ordered spin magnetization results: 0.00 0.00; unit μB/f.u..